1.
Entry from Alexandria: K2RbNa after structural relaxation (PBE).

magnetic moment: 0.0 Bohr magnetons per cell
distance to the lowest polymorph of the same formula: 0.097 eV/f.u.

Unit cell a=4.639 b=4.639 c=43.596 alpha=90.00 beta=90.00 gamma=120.00
Atoms (fractional coordinates):
1 K 0.000 0.000 0.000
2 K 0.000 0.000 0.188
3 K 0.333 0.667 0.667
4 K 0.333 0.667 0.854
5 K 0.667 0.333 0.333
6 K 0.667 0.333 0.521
7 Rb 0.000 0.000 0.761
8 Rb 0.333 0.667 0.427
9 Rb 0.667 0.333 0.094
10 Na 0.000 0.000 0.594
11 Na 0.333 0.667 0.261
12 Na 0.667 0.333 0.927



2.
Entry from Alexandria: TlTcPt after structural relaxation (PBE).

magnetic moment: 8.0 Bohr magnetons per cell
distance to the lowest polymorph of the same formula: 0.640 eV/f.u.

Unit cell a=6.289 b=6.289 c=6.289 alpha=90.00 beta=90.00 gamma=90.00
Atoms (fractional coordinates):
1 Tl 0.000 0.000 0.000
2 Tl 0.000 0.500 0.500
3 Tl 0.500 0.000 0.500
4 Tl 0.500 0.500 0.000
5 Tc 0.000 0.000 0.500
6 Tc 0.000 0.500 0.000
7 Tc 0.500 0.000 0.000
8 Tc 0.500 0.500 0.500
9 Pt 0.250 0.250 0.750
10 Pt 0.250 0.750 0.250
11 Pt 0.750 0.250 0.250
12 Pt 0.750 0.750 0.750



The calculation returns the following E_form values, one per record and in order: 42, 529 meV per atom.